(1)
YNi6P2: optimized geometry, GGA-PBE.

```
YNi6P2
1.0
3.8251 0.0000 0.0000
0.0000 3.8251 0.0000
0.0000 0.0000 7.8228
P Ni Y
2 6 1
Cartesian
1.9125 1.9125 6.6309 P
1.9125 1.9125 1.1919 P
0.0000 1.9125 5.5226 Ni
1.9125 0.0000 2.3002 Ni
0.0000 0.0000 3.9114 Ni
0.0000 1.9125 2.3002 Ni
1.9125 1.9125 3.9114 Ni
1.9125 0.0000 5.5226 Ni
0.0000 0.0000 0.0000 Y
```

Values from the calculation:
ΔH_f (0 K)	-0.54	eV/atom
final energy	-56.79	eV for the cell shown
ρ	7.30	Mg/m³

(2)
SrAlZn2Cu4: optimized geometry, GGA-PBE.

```
SrAlZn2Cu4
1.0
4.2174 0.0000 0.0000
2.1087 3.6524 0.0000
2.1087 1.2175 8.9067
Zn Cu Sr Al
2 4 1 1
Cartesian
2.1087 1.2175 2.6021 Zn
6.3262 3.6524 6.3046 Zn
4.2174 2.4349 2.0750 Cu
2.1087 1.2175 5.4243 Cu
4.2174 2.4349 6.8317 Cu
6.3262 3.6524 3.4823 Cu
0.0000 0.0000 0.0000 Sr
4.2174 2.4349 4.4533 Al
```

Values from the calculation:
ΔH_f (0 K)	-0.09	eV/atom
final energy	-25.09	eV for the cell shown
ρ	6.05	Mg/m³

(3)
Rb2SrPF6: optimized geometry, GGA-PBE.

```
Rb2SrPF6
1.0
-3.3186 -5.1425 0.2604
5.1255 -3.2695 0.7523
0.4442 -3.6229 6.1699
F Rb Sr P
6 2 1 1
Cartesian
1.3074 -6.0867 0.7328 F
-0.9843 -4.6248 0.3964 F
2.7912 -3.7873 0.6163 F
1.6168 -8.1707 3.3571 F
0.4995 -2.3254 0.2799 F
0.6343 -3.8643 3.8254 F
3.2366 -5.5492 3.7143 Rb
-0.9855 -6.4857 3.4683 Rb
0.0000 0.0000 0.0000 Sr
0.9035 -4.2060 0.5064 P
```

Values from the calculation:
ΔE_f (raw)	-253.0	kJ/mol of atoms
final energy	-46.48	eV for the cell shown
ρ	3.13	Mg/m³

(4)
LiRh2Se: optimized geometry, GGA-PBE.

```
LiRh2Se
1.0
-5.8742 -5.8277 -1.1483
-4.2583 -7.1231 0.9570
-6.3440 -5.1654 1.6911
Se Li Rh
1 1 2
Cartesian
-8.3240 -9.1524 0.7577 Se
-12.3443 -13.5728 1.1237 Li
-4.0510 -4.4541 0.3688 Rh
-16.4718 -18.1110 1.4995 Rh
```

Values from the calculation:
ΔE_f (raw)	-0.4	kJ/mol of atoms
final energy	-20.12	eV for the cell shown
ρ	7.84	Mg/m³

(5)
NaPmSmPb: optimized geometry, GGA-PBE.

```
NaPmSmPb
1.0
5.5015 0.0000 0.0000
2.7507 4.7644 0.0000
2.7507 1.5881 4.4920
Na Pm Pb Sm
1 1 1 1
Cartesian
0.0000 0.0000 0.0000 Na
8.2522 4.7644 3.3690 Pm
5.5015 3.1763 2.2460 Pb
2.7507 1.5881 1.1230 Sm
```

Values from the calculation:
ΔH_f (0 K)	-0.21	eV/atom
final energy	-15.32	eV for the cell shown
ρ	7.41	Mg/m³

(6)
Mg2Al2Re: optimized geometry, GGA-PBE.

```
Mg2Al2Re
1.0
3.5815 0.0000 0.0000
0.0000 3.5815 0.0000
1.7908 1.7908 7.4599
Re Al Mg
1 2 2
Cartesian
0.0000 0.0000 0.0000 Re
3.5815 1.7908 3.7300 Al
1.7908 3.5815 3.7300 Al
1.7908 1.7908 1.3689 Mg
3.5815 3.5815 6.0910 Mg
```

Values from the calculation:
ΔH_f (0 K)	0.73	eV/atom
final energy	-19.46	eV for the cell shown
ρ	5.01	Mg/m³

(7)
LuBe4V: optimized geometry, GGA-PBE.

```
LuBe4V
1.0
-4.2112 1.2243 -1.6676
-3.2961 -3.2697 -0.6774
-3.7648 -0.1505 2.7960
Be Lu V
4 1 1
Cartesian
-4.9533 -1.9669 1.0979 Be
-5.1721 -1.2932 -1.0894 Be
-7.0169 -1.3669 0.2807 Be
-5.4017 0.2353 0.6127 Be
0.0000 0.0000 0.0000 Lu
-2.8180 -0.5490 0.1127 V
```

Values from the calculation:
ΔH_f (0 K)	-0.01	eV/atom
final energy	-28.58	eV for the cell shown
ρ	5.96	Mg/m³

(8)
FeAgIr: optimized geometry, GGA-PBE.

```
FeAgIr
1.0
-1.3658 1.5136 -1.8434
-1.2512 -2.1055 1.2474
-2.0747 4.1740 4.9643
Ir Ag Fe
1 1 1
Cartesian
-2.6243 1.7863 3.4110 Ir
-0.0183 0.0368 0.0438 Ag
-2.0492 1.7590 0.9135 Fe
```

Values from the calculation:
ΔH_f (0 K)	0.20	eV/atom
final energy	-19.58	eV for the cell shown
ρ	13.27	Mg/m³

(9)
LaTa2S6: optimized geometry, GGA-PBE.

```
LaTa2S6
1.0
4.8970 0.0000 0.0000
2.4485 5.8823 -0.3095
2.4485 2.0947 7.4966
S Ta La
6 2 1
Cartesian
2.4485 2.5317 6.0663 S
4.8970 2.5937 2.7697 S
4.8970 5.3833 4.4174 S
2.4485 1.9221 0.6129 S
7.3455 6.0549 6.5741 S
7.3455 5.4453 1.1208 S
4.8970 6.0329 6.7092 Ta
4.8970 1.9441 0.4779 Ta
2.4485 3.9885 3.5935 La
```

Values from the calculation:
ΔE_f (raw)	-113.9	kJ/mol of atoms
final energy	-64.02	eV for the cell shown
ρ	5.25	Mg/m³

(10)
NaTcAg3: optimized geometry, GGA-PBE.

```
NaTcAg3
1.0
-3.6831 -0.2715 -3.0548
3.0596 0.0032 -3.6892
0.2110 -4.7851 0.1708
Ag Na Tc
3 1 1
Cartesian
1.5298 0.0016 -1.8446 Ag
-1.8416 -0.1357 -1.5274 Ag
0.1055 -2.3925 0.0854 Ag
0.0000 0.0000 0.0000 Na
-0.2063 -2.5267 -3.2866 Tc
```

Values from the calculation:
ΔH_f (0 K)	1.40	eV/atom
final energy	-13.26	eV for the cell shown
ρ	6.71	Mg/m³

(11)
Na2HoHfTe4: optimized geometry, GGA-PBE.

```
Na2HoHfTe4
1.0
4.2254 0.0000 0.0000
0.0000 7.3753 0.1456
0.0000 -2.5709 7.6234
Na Hf Te Ho
2 1 4 1
Cartesian
2.1127 -1.2855 3.8117 Na
0.0000 2.4022 3.8845 Na
2.1127 3.6876 0.0728 Hf
2.1127 1.2902 1.7909 Te
2.1127 3.5141 5.9781 Te
0.0000 4.8062 1.8104 Te
0.0000 -0.0019 5.9586 Te
0.0000 0.0000 0.0000 Ho
```

Values from the calculation:
ΔE_f (raw)	-100.7	kJ/mol of atoms
final energy	-38.09	eV for the cell shown
ρ	6.25	Mg/m³

(12)
MnTcRu: optimized geometry, GGA-PBE.

```
MnTcRu
1.0
-0.5236 2.2489 -5.4033
-2.1731 0.1392 -5.4577
-2.1055 1.6406 0.2229
Tc Ru Mn
1 1 1
Cartesian
-2.3047 1.8926 -3.5140 Tc
-2.4961 2.1346 -7.1025 Ru
-2.1069 1.6420 0.2012 Mn
```

Values from the calculation:
ΔH_f (0 K)	0.10	eV/atom
final energy	-28.51	eV for the cell shown
ρ	10.57	Mg/m³

(13)
Ti2AlIn2: optimized geometry, GGA-PBE.

```
Ti2AlIn2
1.0
6.8324 0.0000 0.0000
0.0000 6.8324 0.0000
0.0000 0.0000 4.3341
Al In Ti
2 4 4
Cartesian
3.4162 3.4162 0.0000 Al
0.0000 0.0000 0.0000 Al
4.5222 5.7263 2.1670 In
1.1061 4.5222 2.1670 In
5.7263 2.3101 2.1670 In
2.3101 1.1061 2.1670 In
2.4355 5.8517 0.0000 Ti
0.9807 2.4355 0.0000 Ti
4.3969 0.9807 0.0000 Ti
5.8517 4.3969 0.0000 Ti
```

Values from the calculation:
ΔH_f (0 K)	-0.01	eV/atom
final energy	-50.17	eV for the cell shown
ρ	5.78	Mg/m³